*i*
Entry from Alexandria via LeMat-Bulk: a PBEsol-optimized structure of Ta4Fe3 (meta-GGA SCAN).

The structure in CIF format:
```
data_Ta4Fe3
_cell_length_a 3.074
_cell_length_b 3.074
_cell_length_c 21.654
_cell_angle_alpha 90.00
_cell_angle_beta 90.00
_cell_angle_gamma 90.00
_symmetry_space_group_name_H-M 'I 4/m m m'
_symmetry_Int_Tables_number 139
_symmetry_space_group_name_Hall '-I 4 2'
loop_
_atom_site_label
_atom_site_type_symbol
_atom_site_fract_x
_atom_site_fract_y
_atom_site_fract_z
Ta1 Ta 0.000 0.000 0.069
Ta2 Ta 0.000 0.000 0.346
Fe1 Fe 0.000 0.000 0.218
Fe2 Fe 0.000 0.000 0.500
```

=====

*ii*
Entry from Alexandria via LeMat-Bulk: a PBEsol-optimized structure of Ta4Fe3 (meta-GGA SCAN).

The structure in CIF format:
```
data_Ta4Fe3
_cell_length_a 4.8317
_cell_length_b 4.8317
_cell_length_c 5.0038
_cell_angle_alpha 90.00
_cell_angle_beta 90.00
_cell_angle_gamma 120.00
_symmetry_space_group_name_H-M 'P 6/m m m'
_symmetry_Int_Tables_number 191
_symmetry_space_group_name_Hall '-P 6 2'
loop_
_atom_site_label
_atom_site_type_symbol
_atom_site_fract_x
_atom_site_fract_y
_atom_site_fract_z
Ta1 Ta 0.0000 0.0000 0.2490
Ta2 Ta 0.3333 0.6667 0.5000
Fe1 Fe 0.0000 0.5000 0.0000
```

=====

The structure with the greatest stability is *ii*.

=====

*i*
Entry from Alexandria via LeMat-Bulk: a PBEsol-optimized structure of TaZn2Fe (meta-GGA SCAN).

The structure in CIF format:
```
data_TaZn2Fe
_cell_length_a 2.739
_cell_length_b 2.739
_cell_length_c 7.422
_cell_angle_alpha 90.00
_cell_angle_beta 90.00
_cell_angle_gamma 90.00
_symmetry_space_group_name_H-M 'P 4/m m m'
_symmetry_Int_Tables_number 123
_symmetry_space_group_name_Hall '-P 4 2'
loop_
_atom_site_label
_atom_site_type_symbol
_atom_site_fract_x
_atom_site_fract_y
_atom_site_fract_z
Ta1 Ta 0.000 0.000 0.000
Zn1 Zn 0.500 0.500 0.273
Fe1 Fe 0.000 0.000 0.500
```

=====

*ii*
Entry from Alexandria via LeMat-Bulk: a PBEsol-optimized structure of TaZn2Fe (meta-GGA SCAN).

The structure in CIF format:
```
data_TaZn2Fe
_cell_length_a 6.004
_cell_length_b 6.004
_cell_length_c 6.004
_cell_angle_alpha 90.00
_cell_angle_beta 90.00
_cell_angle_gamma 90.00
_symmetry_space_group_name_H-M 'F -4 3 m'
_symmetry_Int_Tables_number 216
_symmetry_space_group_name_Hall 'F -4 2 3'
loop_
_atom_site_label
_atom_site_type_symbol
_atom_site_fract_x
_atom_site_fract_y
_atom_site_fract_z
Ta1 Ta 0.000 0.000 0.000
Zn1 Zn 0.000 0.000 0.500
Zn2 Zn 0.250 0.250 0.250
Fe1 Fe 0.250 0.250 0.750
```

=====

The structure with the greatest stability is *i*.